10
Lattice="3.431 0.000 0.000 0.000 3.431 0.000 0.000 0.000 22.841" Properties=species:S:1:pos:R:3 comment="Th5AlHg4 (PBE, relaxed)" e_form_ev_per_atom=-0.2365 pbc="T T T"
Th 0.000 0.000 0.000
Th 0.000 0.000 4.632
Th 0.000 0.000 9.286
Th 0.000 0.000 13.555
Th 0.000 0.000 18.209
Al 1.716 1.716 11.420
Hg 1.716 1.716 2.315
Hg 1.716 1.716 6.935
Hg 1.716 1.716 15.906
Hg 1.716 1.716 20.526

4
Lattice="3.423 0.000 0.000 0.000 3.423 0.000 0.000 0.000 8.989" Properties=species:S:1:pos:R:3 comment="Th2AlHg (PBE, relaxed)" polymorph_energy_mev_per_atom=0 e_form_ev_per_atom=-0.2575 pbc="T T T"
Th 0.000 0.000 2.139
Th 0.000 0.000 6.850
Al 1.712 1.712 0.000
Hg 1.712 1.712 4.494

12
Lattice="0.000 4.478 7.744 4.187 0.000 7.744 4.187 4.478 0.000" Properties=species:S:1:pos:R:3 comment="Th2Al3Hg (PBE, relaxed)" polymorph_energy_mev_per_atom=0 e_form_ev_per_atom=-0.3825 pbc="T T T"
Th 6.304 4.478 7.744
Th 2.093 2.239 3.872
Th 6.280 6.717 11.616
Th 2.070 4.478 7.744
Al 4.187 2.207 6.466
Al 4.187 4.478 2.549
Al 4.187 2.207 9.022
Al 4.187 6.750 6.466
Al 4.187 4.478 12.938
Al 4.187 6.750 9.022
Hg 4.187 4.478 5.168
Hg 4.187 4.478 10.320

10
Lattice="4.490 0.000 0.000 0.000 4.490 0.000 0.000 0.000 11.035" Properties=species:S:1:pos:R:3 comment="ThAl2Hg2 (PBE, relaxed)" e_form_ev_per_atom=-0.2087 pbc="T T T"
Th 1.122 1.122 2.738
Th 3.367 3.367 8.297
Al 1.122 1.122 9.543
Al 1.122 3.367 5.518
Al 3.367 1.122 5.518
Al 3.367 3.367 1.492
Hg 1.122 1.122 7.011
Hg 1.122 3.367 0.000
Hg 3.367 1.122 0.000
Hg 3.367 3.367 4.024

Number 1: N(E_F) 10.933 states/eV/f.u., calculated total energy -4.4414 eV/atom, volume 26.89 Å³ per atom. Number 2: N(E_F) 3.743 states/eV/f.u., calculated total energy -4.9785 eV/atom, volume 26.33 Å³ per atom. Number 3: N(E_F) 3.682 states/eV/f.u., calculated total energy -4.7774 eV/atom, volume 24.20 Å³ per atom. Number 4: N(E_F) 1.464 states/eV/f.u., calculated total energy -3.3104 eV/atom, volume 22.24 Å³ per atom.